An optimized crystal structure of CsCeBr3, computed with GGA-PBE.

Structure (extended XYZ):
```
10
Lattice="8.286 0.000 0.000 -4.143 7.176 0.000 0.000 0.000 6.825" Properties=species:S:1:pos:R:3 pbc="T T T"
Cs 0.000 4.784 1.706
Cs 4.143 2.392 5.118
Ce 0.000 0.000 0.000
Ce 0.000 0.000 3.412
Br 0.000 2.489 5.118
Br -1.987 5.932 5.118
Br 2.156 1.245 1.706
Br 1.987 5.932 5.118
Br 6.131 1.245 1.706
Br 4.143 4.687 1.706
```

ΔE_f (raw)	-1.688	eV per atom
M_tot	2.82	μB/cell
ΔE to the lowest computed polymorph	0.0	meV/atom

=====

An optimized crystal structure of CsCeBr4, computed with GGA-PBE.

Structure (extended XYZ):
```
12
Lattice="5.595 -7.221 0.000 5.595 7.221 0.000 -5.593 0.000 5.619" Properties=species:S:1:pos:R:3 pbc="T T T"
Cs 1.400 5.421 4.214
Cs 4.196 -5.421 1.405
Ce 4.196 1.806 1.405
Ce 1.400 -1.806 4.214
Br 1.638 3.610 1.182
Br -1.159 0.008 4.439
Br 1.637 -0.008 1.630
Br 6.755 3.610 1.628
Br -1.158 -3.610 3.991
Br 3.959 0.008 3.989
Br 6.756 -0.008 1.180
Br 3.958 -3.610 4.437
```

ΔE_f (raw)	-1.738	eV per atom
M_tot	2.00	μB/cell
ΔE to the lowest computed polymorph	83.1	meV/atom

=====

An optimized crystal structure of Cs3CeBr6, computed with GGA-PBE.

Structure (extended XYZ):
```
10
Lattice="7.413 -4.360 0.000 7.413 4.360 0.000 -4.843 0.000 7.480" Properties=species:S:1:pos:R:3 pbc="T T T"
Cs 0.000 0.000 0.000
Cs 0.126 0.000 5.399
Cs 9.858 0.000 2.081
Ce 4.992 0.000 3.740
Br 3.225 2.050 4.853
Br 3.421 0.000 1.261
Br 6.759 2.050 2.627
Br 3.225 -2.050 4.853
Br 6.563 0.000 6.219
Br 6.759 -2.050 2.627
```

ΔE_f (raw)	-1.838	eV per atom
M_tot	1.00	μB/cell

=====

An optimized crystal structure of CsCeCu2Br8, computed with GGA-PBE.

Structure (extended XYZ):
```
12
Lattice="7.697 0.000 0.000 -3.848 6.666 0.000 0.000 0.000 9.854" Properties=species:S:1:pos:R:3 pbc="T T T"
Cs 0.000 0.000 0.000
Ce 0.000 0.000 4.927
Cu 0.000 4.444 2.136
Cu 3.848 2.222 7.718
Br 0.000 2.218 3.216
Br -1.927 5.557 3.216
Br 1.921 1.109 6.638
Br 0.000 4.444 9.696
Br 3.848 2.222 0.158
Br 1.927 5.557 3.216
Br 5.776 1.109 6.638
Br 3.848 4.447 6.638
```

ΔE_f (raw)	-1.022	eV per atom
M_tot	1.22	μB/cell

=====

An optimized crystal structure of CsCeCuBr5, computed with GGA-PBE.

Structure (extended XYZ):
```
16
Lattice="4.891 -6.443 0.000 4.891 6.443 0.000 -4.396 0.000 10.074" Properties=species:S:1:pos:R:3 pbc="T T T"
Cs 1.594 4.534 7.556
Cs 3.792 -4.534 2.519
Ce 4.891 0.000 0.000
Ce 2.693 0.000 5.037
Cu 3.792 3.961 2.519
Cu 1.594 -3.961 7.556
Br -2.120 1.019 9.233
Br 2.197 2.661 3.893
Br 0.078 -1.019 4.196
Br 5.387 2.661 1.144
Br 1.594 0.991 7.556
Br 3.792 -0.991 2.519
Br -0.001 -2.661 8.930
Br 5.307 1.019 5.878
Br 3.189 -2.661 6.181
Br 7.505 -1.019 0.841
```

ΔE_f (raw)	-1.422	eV per atom
M_tot	2.00	μB/cell

=====

An optimized crystal structure of CsCe2Br2F5, computed with GGA-PBE.

Structure (extended XYZ):
```
20
Lattice="10.673 0.000 0.000 0.000 10.673 0.000 0.000 0.000 3.679" Properties=species:S:1:pos:R:3 pbc="T T T"
Cs 0.000 0.000 0.000
Cs 5.336 5.336 0.000
Ce 1.342 3.994 0.000
Ce 3.994 9.330 0.000
Ce 6.679 1.342 0.000
Ce 9.330 6.679 0.000
Br 1.804 7.141 0.000
Br 3.532 1.804 0.000
Br 7.141 8.869 0.000
Br 8.869 3.532 0.000
F 0.000 5.336 1.839
F 0.831 2.575 1.839
F 2.575 9.842 1.839
F 2.762 4.506 1.839
F 4.506 7.911 1.839
F 5.336 0.000 1.839
F 6.167 2.762 1.839
F 7.911 6.167 1.839
F 8.098 0.831 1.839
F 9.842 8.098 1.839
```

ΔE_f (raw)	-3.089	eV per atom
M_tot	4.00	μB/cell

=====

An optimized crystal structure of Cs2CeBr2F4, computed with GGA-PBE.

Structure (extended XYZ):
```
9
Lattice="-3.754 3.754 4.836 3.754 -3.754 4.836 3.754 3.754 -4.836" Properties=species:S:1:pos:R:3 pbc="T T T"
Cs 3.754 0.000 2.418
Cs 0.000 3.754 2.418
Ce 0.000 0.000 0.000
Br 0.000 0.000 2.851
Br 0.000 0.000 6.822
F 1.513 1.513 0.000
F 2.241 -2.241 4.836
F -2.241 2.241 4.836
F 2.241 2.241 4.836
```

ΔE_f (raw)	-2.821	eV per atom
M_tot	0.00	μB/cell

=====

An optimized crystal structure of Cs2CeBr4F2, computed with GGA-PBE.

Structure (extended XYZ):
```
9
Lattice="6.340 -4.146 0.000 6.340 4.146 0.000 -1.388 0.000 6.103" Properties=species:S:1:pos:R:3 pbc="T T T"
Cs 1.715 0.000 2.013
Cs 9.578 0.000 4.090
Ce 6.340 0.000 0.000
Br 4.806 2.067 1.217
Br 6.487 2.067 4.886
Br 4.806 -2.067 1.217
Br 6.487 -2.067 4.886
F 3.609 0.000 4.481
F 7.684 0.000 1.623
```

ΔE_f (raw)	-2.307	eV per atom
M_tot	0.00	μB/cell

=====

An optimized crystal structure of Cs2CeHg2Br6, computed with GGA-PBE.

Structure (extended XYZ):
```
11
Lattice="7.874 -4.864 0.000 7.874 4.864 0.000 -4.159 0.000 7.271" Properties=species:S:1:pos:R:3 pbc="T T T"
Cs 2.981 0.000 1.166
Cs 8.608 0.000 6.105
Ce 7.874 0.000 0.000
Hg -0.687 0.000 2.802
Hg 12.276 0.000 4.469
Br 6.060 1.970 0.880
Br 2.438 0.000 4.795
Br 5.529 1.970 6.390
Br 6.060 -1.970 0.880
Br 9.151 0.000 2.476
Br 5.529 -1.970 6.390
```

ΔE_f (raw)	-1.378	eV per atom
M_tot	0.00	μB/cell

=====

An optimized crystal structure of CsCe3Hg2Br12, computed with GGA-PBE.

Structure (extended XYZ):
```
18
Lattice="5.465 3.155 7.681 -5.465 3.155 7.681 0.000 -6.311 7.681" Properties=species:S:1:pos:R:3 pbc="T T T"
Cs 0.000 0.000 0.000
Ce -5.465 0.000 11.521
Ce -2.733 1.578 3.840
Ce 2.733 1.578 3.840
Hg 0.000 0.000 9.614
Hg 0.000 0.000 13.427
Br -3.402 -1.964 12.145
Br 0.000 -2.526 6.478
Br -2.188 1.263 6.478
Br 0.000 -3.929 10.896
Br -3.402 1.964 10.896
Br -2.188 -1.263 16.564
Br 2.188 1.263 6.478
Br 3.402 -1.964 12.145
Br 0.000 3.929 12.145
Br 2.188 -1.263 16.564
Br 0.000 2.526 16.564
Br 3.402 1.964 10.896
```

ΔE_f (raw)	-1.457	eV per atom
M_tot	1.06	μB/cell

=====

An optimized crystal structure of CsCe2HgBr8, computed with GGA-PBE.

Structure (extended XYZ):
```
12
Lattice="8.125 0.000 0.000 -4.063 7.037 0.000 0.000 0.000 8.293" Properties=species:S:1:pos:R:3 pbc="T T T"
Cs 0.000 0.000 0.000
Ce 0.000 4.691 3.499
Ce 4.063 2.346 4.794
Hg 0.000 0.000 4.147
Br -1.174 2.808 5.494
Br 0.000 4.691 0.738
Br -1.044 6.649 5.494
Br 1.845 2.420 2.799
Br 2.218 4.616 5.494
Br 5.107 0.388 2.799
Br 4.063 2.346 7.555
Br 5.236 4.229 2.799
```

ΔE_f (raw)	-1.519	eV per atom
M_tot	0.96	μB/cell

=====

An optimized crystal structure of Cs2CeIBr6, computed with GGA-PBE.

Structure (extended XYZ):
```
20
Lattice="8.718 0.000 0.000 0.000 10.360 0.000 -6.771 0.000 9.959" Properties=species:S:1:pos:R:3 pbc="T T T"
Cs -0.078 1.114 2.729
Cs -3.463 4.066 7.708
Cs 5.410 6.294 2.251
Cs 2.025 9.246 7.230
Ce 4.359 0.000 0.000
Ce 0.974 5.180 4.980
I -3.385 0.000 4.980
I 0.000 5.180 0.000
Br -4.946 1.169 9.471
Br -1.560 4.011 4.492
Br -0.023 7.700 4.236
Br -3.408 7.840 9.215
Br -1.571 0.628 7.246
Br 1.814 4.552 2.267
Br 0.133 5.808 7.692
Br 3.518 9.732 2.713
Br 5.355 2.520 0.744
Br 1.970 2.660 5.724
Br 3.507 6.349 5.467
Br 6.893 9.191 0.488
```

ΔE_f (raw)	-1.495	eV per atom
M_tot	2.09	μB/cell